The following is a DFT calculation (PBE-GGA) of As2IrPb2 after structural relaxation.

Summary:
The calculated formation energy is -0.2 kcal/mol of atoms. Its symmetry is P4/mbm.

Cell: 6.3771 6.3771 5.6933 Å, 90.00 90.00 90.00°
Element x y z (fractional)
Pb 0.1869 0.6869 0.5000
Pb 0.3131 0.1869 0.5000
Ir 0.0000 0.0000 0.0000
Pb 0.6869 0.8131 0.5000
As 0.6375 0.1375 0.0000
As 0.1375 0.3625 0.0000
As 0.3625 0.8625 0.0000
Ir 0.5000 0.5000 0.0000
Pb 0.8131 0.3131 0.5000
As 0.8625 0.6375 0.0000

---

The following is a DFT calculation (PBE-GGA) of AsIrPb after structural relaxation.

Summary:
For the energy above the most stable polymorph in this dataset, the calculation gives 158 meV per atom. The calculated formation energy is 1.6 kcal/mol of atoms. Its symmetry is I4mm.

Cell: 6.8894 6.8890 3.1526 Å, 76.78 76.77 26.45°
Element x y z (fractional)
As 0.9548 0.9548 0.0452
Pb 0.6857 0.6857 0.3143
Ir 0.3596 0.3596 0.6404

---

The following is a DFT calculation (PBE-GGA) of AsIrPb after structural relaxation.

Summary:
For the energy above the most stable polymorph in this dataset, the calculation gives 171 meV per atom. The calculated formation energy is 1.9 kcal/mol of atoms. Its symmetry is P-6m2.

Cell: 4.1512 4.1512 4.6696 Å, 90.00 90.00 120.00°
Element x y z (fractional)
Pb 0.3333 0.6667 0.6664
Ir 0.6667 0.3333 0.1671
As 0.0000 0.0000 0.1666

---

The following is a DFT calculation (PBE-GGA) of AsIrPb after structural relaxation.

Summary:
For the energy above the most stable polymorph in this dataset, the calculation gives 222 meV per atom. The calculated formation energy is 3.1 kcal/mol of atoms. Its symmetry is F-43m.

Cell: 4.5203 4.5203 4.5203 Å, 60.00 60.00 60.00°
Element x y z (fractional)
Pb 0.0000 0.0000 0.0000
Ir 0.2500 0.2500 0.2500
As 0.5000 0.5000 0.5000